Record 1
A crystal of TaInAs relaxed with PBEsol, computed with SCAN.

Calculated values
excess energy over the best structure of this formula in the dataset: 722.0 meV per atom
symmetry: F-43m, No. 216
ΔH_f (0 K): 0.607 eV per atom

a = 4.5328 Å, b = 4.5328 Å, c = 4.5328 Å
α = 60.00°, β = 60.00°, γ = 60.00°
With the nearest neighbours (Å) after each atom.
Fractional positions:
Ta  0.2500  0.2500  0.2500  4 As 2.78, 4 In 2.78
In  0.5000  0.5000  0.5000  4 Ta 2.78
As  0.0000  0.0000  0.0000  4 Ta 2.78

Record 2
A crystal of TaInAs2 relaxed with PBEsol, computed with SCAN.

Calculated values
symmetry: I-4m2, No. 119
ΔH_f (0 K): 0.344 eV per atom

a = 3.9194 Å, b = 3.9194 Å, c = 5.5527 Å
α = 110.67°, β = 110.67°, γ = 90.00°
With the nearest neighbours (Å) after each atom.
Fractional positions:
As  0.0000  0.0000  0.0000  4 In 2.77, 4 As 3.10, 4 Ta 3.10
As  0.7500  0.2500  0.5000  4 Ta 2.77, 4 In 3.10, 4 As 3.10
Ta  0.2500  0.7500  0.5000  8 As 2.77-3.10, 4 In 3.10
In  0.5000  0.5000  0.0000  8 As 2.77-3.10, 4 Ta 3.10

Record 3
A crystal of TaInAs relaxed with PBEsol, computed with SCAN.

Calculated values
excess energy over the best structure of this formula in the dataset: 0.0 meV per atom
symmetry: I4mm, No. 107
ΔH_f (0 K): -0.115 eV per atom

a = 3.3622 Å, b = 3.3622 Å, c = 5.4690 Å
α = 107.90°, β = 107.90°, γ = 90.00°
With the nearest neighbours (Å) after each atom.
Fractional positions:
In  0.6665  0.6665  0.3331  5 Ta 3.02-3.05, 5 As 3.02-3.05, 4 In 3.36
As  0.9733  0.9733  0.9467  4 Ta 2.63
Ta  0.3601  0.3601  0.7203  4 As 2.63

Record 4
A crystal of TaInAs2 relaxed with PBEsol, computed with SCAN.

Calculated values
symmetry: Cmmm, No. 65
ΔH_f (0 K): -0.061 eV per atom

a = 2.9852 Å, b = 2.9852 Å, c = 9.5791 Å
α = 90.00°, β = 90.00°, γ = 106.16°
With the nearest neighbours (Å) after each atom.
Fractional positions:
As  0.0000  0.0000  0.1997  2 Ta 2.62
As  0.0000  0.0000  0.8003  2 Ta 2.62
In  0.5000  0.5000  0.5000  4 In 2.99
Ta  0.5000  0.5000  0.0000  4 As 2.62

Record 5
A crystal of ZrTaIn2As relaxed with PBEsol, computed with SCAN.

Calculated values
symmetry: P4/mmm, No. 123
ΔH_f (0 K): 0.625 eV per atom

a = 4.7786 Å, b = 5.2338 Å, c = 5.2338 Å
α = 90.00°, β = 90.00°, γ = 90.00°
With the nearest neighbours (Å) after each atom.
Fractional positions:
In  0.0000  0.5000  0.0000  2 Ta 2.62
In  0.0000  0.0000  0.5000  2 Ta 2.62
Ta  0.0000  0.0000  0.0000  2 As 2.39, 4 In 2.62
As  0.5000  0.0000  0.0000  2 Ta 2.39
Zr  0.5000  0.5000  0.5000  8 In 3.54, 4 As 3.70

Record 6
A crystal of InTeAs relaxed with PBEsol, computed with SCAN.

Calculated values
energy relative to the elements, uncorrected: 0.364 eV/atom
symmetry: F-43m, No. 216

a = 4.8854 Å, b = 4.8854 Å, c = 4.8854 Å
α = 60.00°, β = 60.00°, γ = 60.00°
With the nearest neighbours (Å) after each atom.
Fractional positions:
As  0.5000  0.5000  0.5000  4 In 2.99
In  0.2500  0.2500  0.2500  4 As 2.99, 4 Te 2.99
Te  0.0000  0.0000  0.0000  4 In 2.99

Record 7
A crystal of YIn2TeAs relaxed with PBEsol, computed with SCAN.

Calculated values
energy relative to the elements, uncorrected: 0.491 eV/atom
symmetry: P4/mmm, No. 123

a = 5.2920 Å, b = 5.4955 Å, c = 5.4955 Å
α = 90.00°, β = 90.00°, γ = 90.00°
With the nearest neighbours (Å) after each atom.
Fractional positions:
As  0.5000  0.0000  0.0000  2 Te 2.65
Y  0.5000  0.5000  0.5000  8 In 3.81, 4 As 3.89
In  0.0000  0.5000  0.0000  2 Te 2.75
In  0.0000  0.0000  0.5000  2 Te 2.75
Te  0.0000  0.0000  0.0000  2 As 2.65, 4 In 2.75

Record 8
A crystal of Ti2InAs relaxed with PBEsol, computed with SCAN.

Calculated values
symmetry: Fm-3m, No. 225
ΔH_f (0 K): -0.177 eV per atom

a = 4.5943 Å, b = 4.5943 Å, c = 4.5943 Å
α = 60.00°, β = 60.00°, γ = 60.00°
With the nearest neighbours (Å) after each atom.
Fractional positions:
Ti  0.2500  0.2500  0.2500  4 In 2.81, 4 As 2.81
Ti  0.7500  0.7500  0.7500  4 In 2.81, 4 As 2.81
In  0.5000  0.5000  0.5000  8 Ti 2.81
As  0.0000  0.0000  0.0000  8 Ti 2.81